A relaxed structure of NpTl2CdO6. Source: Alexandria via LeMat-Bulk, functional GGA-PBE.

The magnetic moment is 0.00 μB per atom.

The structure belongs to space group P2_1/c (No. 14); the cell edges are 6.074, 6.079 and 10.491 Å and the angles 90.00°, 125.13° and 90.00°. The asymmetric unit holds Np at (0.000, 0.000, 0.000), Tl at (0.245, 0.009, 0.749), Cd at (0.500, 0.000, 0.500), O at (0.177, 0.245, 0.466), O at (0.219, 0.714, 0.468) and O at (0.295, 0.003, 0.232).

=====

A relaxed structure of NpTlCdO6. Source: Alexandria via LeMat-Bulk, functional GGA-PBE.

The magnetic moment is 0.00 μB per atom.

The structure belongs to space group P-31c (No. 163); the cell edges are 5.6415, 5.6415 and 9.7180 Å and the angles 90.00°, 90.00° and 120.00°. The asymmetric unit holds Np at (0.3333, 0.6667, 0.2500), Tl at (0.3333, 0.6667, 0.7500), Cd at (0.0000, 0.0000, 0.0000) and O at (0.0353, 0.3647, 0.1325).

=====

A relaxed structure of NpTlCd2O6. Source: Alexandria via LeMat-Bulk, functional GGA-PBE.

The magnetic moment is 0.00 μB per atom.

The structure belongs to space group P1 (No. 1); the cell edges are 5.885, 5.889 and 6.382 Å and the angles 90.03°, 117.40° and 119.96°. The asymmetric unit holds Np at (0.000, 0.000, 0.000), Tl at (0.047, 0.523, 0.571), Cd at (0.591, 0.795, 0.387), Cd at (0.635, 0.318, 0.954), O at (0.130, 0.962, 0.763), O at (0.144, 0.775, 0.198), O at (0.423, 0.369, 0.198), O at (0.594, 0.633, 0.763), O at (0.801, 0.169, 0.763) and O at (0.830, 0.054, 0.199).

=====

A relaxed structure of NpTl3Cd2O6. Source: Alexandria via LeMat-Bulk, functional GGA-PBE.

The magnetic moment is 0.12 μB per atom.

The structure belongs to space group C2/m (No. 12); the cell edges are 5.914, 10.232 and 7.142 Å and the angles 90.00°, 105.89° and 90.00°. The asymmetric unit holds Np at (0.000, 0.000, 0.000), Tl at (0.000, 0.167, 0.500), Tl at (0.000, 0.500, 0.500), Cd at (0.000, 0.334, 0.000), O at (0.206, 0.149, 0.170) and O at (0.241, 0.000, 0.825).

=====

A relaxed structure of NpTl2Cd2O6. Source: Alexandria via LeMat-Bulk, functional GGA-PBE.

The magnetic moment is 0.09 μB per atom.

The structure belongs to space group C2/m (No. 12); the cell edges are 5.955, 10.058 and 6.925 Å and the angles 90.00°, 108.23° and 90.00°. The asymmetric unit holds Np at (0.000, 0.000, 0.000), Tl at (0.000, 0.173, 0.500), Cd at (0.000, 0.337, 0.000), O at (0.207, 0.150, 0.177) and O at (0.231, 0.000, 0.819).

=====

A relaxed structure of NpTl2CdO8. Source: Alexandria via LeMat-Bulk, functional GGA-PBE.

The magnetic moment is 0.05 μB per atom.

The structure belongs to space group P2/m (No. 10); the cell edges are 5.222, 6.788 and 5.249 Å and the angles 90.00°, 92.89° and 90.00°. The asymmetric unit holds Np at (0.000, 0.000, 0.000), Tl at (0.500, 0.253, 0.500), Cd at (0.000, 0.500, 0.000), O at (0.179, 0.208, 0.826), O at (0.302, 0.000, 0.307) and O at (0.303, 0.500, 0.308).

=====

A relaxed structure of Tm2NpCdO8. Source: Alexandria via LeMat-Bulk, functional GGA-PBE.

The magnetic moment is 0.03 μB per atom.

The structure belongs to space group C2/m (No. 12); the cell edges are 7.248, 6.941 and 7.000 Å and the angles 90.00°, 93.26° and 90.00°. The asymmetric unit holds Tm at (0.014, 0.000, 0.257), Np at (0.000, 0.500, 0.000), Cd at (0.000, 0.500, 0.500), O at (0.000, 0.192, 0.500), O at (0.000, 0.207, 0.000), O at (0.181, 0.500, 0.774) and O at (0.200, 0.500, 0.196).

=====

A relaxed structure of TmNpCd2O6. Source: Alexandria via LeMat-Bulk, functional GGA-PBE.

The magnetic moment is 0.20 μB per atom.

The structure belongs to space group P2_1/c (No. 14); the cell edges are 5.706, 5.834 and 10.109 Å and the angles 90.00°, 123.77° and 90.00°. The asymmetric unit holds Tm at (0.000, 0.000, 0.000), Np at (0.500, 0.000, 0.500), Cd at (0.252, 0.041, 0.751), O at (0.136, 0.071, 0.252), O at (0.250, 0.677, 0.063) and O at (0.392, 0.190, 0.065).

=====

A relaxed structure of TmNpCd2O8. Source: Alexandria via LeMat-Bulk, functional GGA-PBE.

The magnetic moment is 0.00 μB per atom.

The structure belongs to space group P2/m (No. 10); the cell edges are 4.668, 6.877 and 5.241 Å and the angles 90.00°, 92.99° and 90.00°. The asymmetric unit holds Tm at (0.000, 0.000, 0.000), Np at (0.000, 0.500, 0.000), Cd at (0.500, 0.253, 0.500), O at (0.138, 0.000, 0.581), O at (0.226, 0.500, 0.699) and O at (0.239, 0.262, 0.137).

=====

A relaxed structure of NpUCdO6. Source: Alexandria via LeMat-Bulk, functional GGA-PBE.

The magnetic moment is 0.33 μB per atom.

The structure belongs to space group P-31c (No. 163); the cell edges are 5.6027, 5.6027 and 9.7484 Å and the angles 90.00°, 90.00° and 120.00°. The asymmetric unit holds Np at (0.0000, 0.0000, 0.0000), U at (0.3333, 0.6667, 0.2500), Cd at (0.3333, 0.6667, 0.7500) and O at (0.0300, 0.3387, 0.1277).

=====

The calculation returns the following VASP energy values, one per record and in order: -127.4, -120.2, -63.1, -136.6, -132.6, -73.5, -186.2, -144.7, -82.2, -156.1 eV for the cell shown.
The calculation returns the following density values, one per record and in order: 8.954, 8.057, 7.797, 9.355, 8.149, 7.919, 7.701, 8.628, 7.499, 8.565 g/cm³.